Record 1
# LaMgTc2

Crystalline LaMgTc2 at its relaxed geometry (PBE-GGA, Alexandria).

Total moment (μB/cell): 0.00
Energy of formation from the pure elements (kcal/mol of atoms): 9.6
E (eV/cell): -25.593
Symmetry: No. 35

Cell lengths 2.9424, 2.9424, 9.9317 Å; angles 90.00, 90.00, 113.47 degrees
Closest atoms and distances in Å follow each position.
Fractional positions:
1 La 0.0000 0.0000 0.4698  6 La 2.94-3.23, 2 Tc 2.98
2 Mg 0.5000 0.5000 0.7912  2 Tc 2.80, 4 Mg 2.94
3 Tc 0.0000 0.0000 0.0218  2 Tc 2.52, 2 Mg 2.80
4 Tc 0.5000 0.5000 0.2172  2 Tc 2.52


Record 2
# LiPSe

Crystalline LiPSe at its relaxed geometry (PBE-GGA, Alexandria).

Total moment (μB/cell): 0.00
Relative energy among the computed polymorphs (eV per atom): 0.311
E (eV/cell): -46.193
ΔE_f (raw) (eV/atom): -0.247
Symmetry: No. 62

Cell lengths 3.5103, 6.9846, 9.4327 Å; angles 90.00, 90.00, 90.00 degrees
Closest atoms and distances in Å follow each position.
Fractional positions:
1 P 0.2500 0.3781 0.2986  2 Se 2.42
2 P 0.7500 0.1219 0.7986  2 Se 2.42
3 P 0.7500 0.6219 0.7014  2 Se 2.42
4 P 0.2500 0.8781 0.2014  2 Se 2.42
5 Se 0.2500 0.3417 0.8655  2 P 2.42, 1 Li 2.66
6 Se 0.7500 0.1583 0.3655  2 P 2.42, 1 Li 2.66
7 Se 0.7500 0.6583 0.1345  2 P 2.42, 1 Li 2.66
8 Se 0.2500 0.8417 0.6345  2 P 2.42, 1 Li 2.66
9 Li 0.2500 0.8269 0.9159  3 Se 2.66-2.95, 3 P 2.72-2.92
10 Li 0.7500 0.6731 0.4159  3 Se 2.66-2.95, 3 P 2.72-2.92
11 Li 0.7500 0.1731 0.0841  3 Se 2.66-2.95, 3 P 2.72-2.92
12 Li 0.2500 0.3269 0.5841  3 Se 2.66-2.95, 3 P 2.72-2.92


Please write out number 1 again, unchanged.
# LaMgTc2

Crystalline LaMgTc2 at its relaxed geometry (PBE-GGA, Alexandria).

Total moment (μB/cell): 0.00
Energy of formation from the pure elements (kcal/mol of atoms): 9.6
E (eV/cell): -25.593
Symmetry: No. 35

Cell lengths 2.9424, 2.9424, 9.9317 Å; angles 90.00, 90.00, 113.47 degrees
Closest atoms and distances in Å follow each position.
Fractional positions:
1 La 0.0000 0.0000 0.4698  6 La 2.94-3.23, 2 Tc 2.98
2 Mg 0.5000 0.5000 0.7912  2 Tc 2.80, 4 Mg 2.94
3 Tc 0.0000 0.0000 0.0218  2 Tc 2.52, 2 Mg 2.80
4 Tc 0.5000 0.5000 0.2172  2 Tc 2.52